No. 1
Material: ScNi2Te
Method: DFT, GGA-PBE
State: relaxed

Properties
energy relative to the elements, uncorrected: -36.6 kJ/mol of atoms
space-group type: P4/mmm, No. 123
calculated volume: 64 Å³/f.u.

Unit cell a=4.067 b=4.067 c=3.842 alpha=90.00 beta=90.00 gamma=90.00
Sites, in units of the cell vectors:
Ni 0.500 0.000 0.000
Sc 0.000 0.000 0.500
Te 0.500 0.500 0.500
Ni 0.000 0.500 0.000

---

No. 2
Material: BaCaIr2
Method: DFT, GGA-PBE
State: relaxed

Properties
space-group type: Imm2, No. 44
calculated volume: 122 Å³/f.u.
energy above the most stable polymorph in this dataset: 0.186 eV per atom

Unit cell a=6.625 b=6.625 c=6.625 alpha=140.69 beta=138.03 gamma=58.85
Sites, in units of the cell vectors:
Ba 0.479 0.479 0.000
Ir 0.177 0.677 0.500
Ir 0.104 0.104 0.000
Ca 0.739 0.239 0.500

---

No. 3
Material: HgRu
Method: DFT, GGA-PBE
State: relaxed

Properties
space-group type: P6_3/mmc, No. 194
calculated volume: 35 Å³/f.u.
VASP energy: -0.152 hartree per atom

Unit cell a=2.939 b=2.939 c=9.324 alpha=90.00 beta=90.00 gamma=120.00
Sites, in units of the cell vectors:
Hg 0.000 0.000 0.000
Ru 0.333 0.667 0.250
Hg 0.000 0.000 0.500
Ru 0.667 0.333 0.750

---

No. 4
Material: Y2OsO6
Method: DFT, GGA-PBE
State: relaxed

Properties
energy relative to the elements, uncorrected: -227.8 kJ/mol of atoms
space-group type: P4_2/mnm, No. 136
calculated volume: 125 Å³/f.u.
energy above the most stable polymorph in this dataset: 0.014 eV per atom

Unit cell a=4.999 b=4.999 c=10.008 alpha=90.00 beta=90.00 gamma=90.00
Sites, in units of the cell vectors:
O 0.686 0.686 0.355
O 0.773 0.227 0.500
Os 0.500 0.500 0.500
O 0.814 0.186 0.145
Os 0.000 0.000 0.000
O 0.227 0.773 0.500
O 0.686 0.686 0.645
O 0.814 0.186 0.855
Y 0.000 0.000 0.669
O 0.186 0.814 0.145
O 0.273 0.273 0.000
O 0.314 0.314 0.355
O 0.186 0.814 0.855
Y 0.500 0.500 0.831
Y 0.000 0.000 0.331
O 0.727 0.727 0.000
Y 0.500 0.500 0.169
O 0.314 0.314 0.645

---

No. 5
Material: TaMnS4
Method: DFT, GGA-PBE
State: relaxed

Properties
energy relative to the elements, uncorrected: -63.6 kJ/mol of atoms
space-group type: P2_1/c, No. 14
calculated volume: 117 Å³/f.u.

Unit cell a=5.560 b=7.053 c=7.024 alpha=122.17 beta=90.00 gamma=90.00
Sites, in units of the cell vectors:
S 0.242 0.321 0.167
S 0.238 0.838 0.672
S 0.762 0.162 0.328
Ta 0.500 0.000 0.500
Mn 0.000 0.000 0.000
S 0.258 0.821 0.167
S 0.758 0.679 0.833
S 0.262 0.338 0.672
Ta 0.000 0.500 0.500
S 0.738 0.662 0.328
Mn 0.500 0.500 0.000
S 0.742 0.179 0.833

---

No. 6
Material: BaDyPuN3
Method: DFT, GGA-PBE
State: relaxed

Properties
energy relative to the elements, uncorrected: -93.1 kJ/mol of atoms
space-group type: P2_1/m, No. 11
calculated volume: 125 Å³/f.u.

Unit cell a=3.624 b=6.890 c=12.020 alpha=123.49 beta=90.00 gamma=90.00
Sites, in units of the cell vectors:
N 0.250 0.535 0.903
Dy 0.750 0.287 0.876
Pu 0.750 0.094 0.419
Ba 0.250 0.347 0.222
Dy 0.250 0.713 0.124
N 0.750 0.023 0.235
N 0.750 0.465 0.097
Pu 0.250 0.906 0.581
N 0.750 0.132 0.604
Ba 0.750 0.653 0.778
N 0.250 0.868 0.396
N 0.250 0.977 0.765

---

No. 7
Material: CeUPtRh
Method: DFT, GGA-PBE
State: relaxed

Properties
space-group type: F-43m, No. 216
calculated volume: 74 Å³/f.u.
VASP energy: -0.306 hartree per atom

Unit cell a=4.714 b=4.714 c=4.714 alpha=60.00 beta=60.00 gamma=60.00
Sites, in units of the cell vectors:
U 0.500 0.500 0.500
Rh 0.000 0.000 0.000
Ce 0.750 0.750 0.750
Pt 0.250 0.250 0.250

---

No. 8
Material: Na2ScUO6
Method: DFT, GGA-PBE
State: relaxed

Properties
energy relative to the elements, uncorrected: -249.6 kJ/mol of atoms
space-group type: Fm-3m, No. 225
calculated volume: 144 Å³/f.u.

Unit cell a=5.880 b=5.882 c=5.879 alpha=60.00 beta=60.01 gamma=90.00
Sites, in units of the cell vectors:
Sc 0.000 0.000 0.000
O 0.749 0.252 0.000
U 0.500 0.500 0.000
Na 0.250 0.750 0.500
O 0.749 0.749 0.000
O 0.251 0.252 0.497
O 0.251 0.251 0.000
O 0.251 0.748 0.000
Na 0.750 0.250 0.500
O 0.749 0.748 0.503